Entry 1:
Material: LiTlAuO4
Method: DFT, PBE
State: optimized geometry Values from VASP.

Output
- Calculated density: 7.770 g cm⁻³
- ΔE_f (raw): -582 meV/atom
- E_tot: -31.5 eV/f.u.

Cell and atoms, written as Quantum ESPRESSO input:
```
&SYSTEM
  ibrav = 0, nat = 14, ntyp = 4
/
ATOMIC_SPECIES
Li 6.94 Li.upf
Tl 204.38 Tl.upf
Au 196.97 Au.upf
O 16.00 O.upf
CELL_PARAMETERS angstrom
6.718 0.000 0.000
-3.359 5.578 -0.519
0.000 -3.472 5.710
ATOMIC_POSITIONS angstrom
Li 3.359 4.003 0.479
Li 0.000 -1.897 4.713
Tl 3.359 -1.736 2.855
Tl 3.359 0.000 0.000
Au 1.679 1.053 2.596
Au -1.679 1.053 2.596
O 3.359 0.348 3.798
O 1.752 -0.687 1.537
O 4.965 -0.687 1.537
O 3.359 1.796 1.416
O 0.000 0.310 3.775
O 1.607 2.794 3.654
O -1.607 2.794 3.654
O 0.000 1.758 1.393
```


Entry 2:
Material: IrC2
Method: DFT, PBE
State: optimized geometry Values from VASP.

Output
- Calculated density: 10.055 g cm⁻³
- E_tot: -22.5 eV/f.u.
- ΔE to the lowest computed polymorph: 1008 meV/atom

Cell and atoms, written as Quantum ESPRESSO input:
```
&SYSTEM
  ibrav = 0, nat = 6, ntyp = 2
/
ATOMIC_SPECIES
Ir 192.22 Ir.upf
C 12.01 C.upf
CELL_PARAMETERS angstrom
4.856 0.000 0.000
0.000 4.856 0.000
0.000 0.000 3.029
ATOMIC_POSITIONS angstrom
Ir 2.428 2.428 0.000
Ir 0.000 0.000 1.514
C 3.876 3.876 0.000
C 0.980 0.980 0.000
C 1.448 3.408 1.514
C 3.408 1.448 1.514
```


Entry 3:
Material: NaSr2Cl5
Method: DFT, PBE
State: optimized geometry Values from VASP.

Output
- Calculated density: 2.496 g cm⁻³
- ΔE_f (raw): -2255 meV/atom
- E_tot: -32.0 eV/f.u.

Cell and atoms, written as Quantum ESPRESSO input:
```
&SYSTEM
  ibrav = 0, nat = 32, ntyp = 3
/
ATOMIC_SPECIES
Na 22.99 Na.upf
Sr 87.62 Sr.upf
Cl 35.45 Cl.upf
CELL_PARAMETERS angstrom
-1.746 -0.098 -4.318
-2.867 -10.011 1.387
-18.089 6.174 7.176
ATOMIC_POSITIONS angstrom
Na -3.733 -3.833 -2.173
Na -10.944 2.654 3.110
Na -11.758 -6.589 1.136
Na -18.969 -0.101 6.418
Sr -10.141 -1.009 0.355
Sr -15.742 1.330 2.567
Sr -5.420 -0.296 0.943
Sr -17.685 4.318 5.798
Sr -5.017 -8.253 -1.553
Sr -17.281 -3.639 3.303
Sr -6.960 -5.265 1.678
Sr -12.561 -2.925 3.890
Cl -7.579 -2.256 1.860
Cl -1.680 -3.635 -0.494
Cl -16.615 1.458 5.430
Cl -10.834 -0.664 3.141
Cl -5.317 -1.667 -1.581
Cl -13.377 1.859 4.112
Cl -1.911 -1.174 -2.970
Cl -7.769 0.677 -0.643
Cl -10.926 1.748 0.610
Cl -16.493 4.284 2.804
Cl -6.209 -8.219 1.442
Cl -11.776 -5.683 3.636
Cl -14.933 -4.611 4.888
Cl -20.791 -2.760 7.215
Cl -9.325 -5.793 0.134
Cl -17.385 -2.268 5.827
Cl -11.868 -3.271 1.105
Cl -6.087 -5.392 -1.185
Cl -21.022 -0.300 4.740
Cl -15.123 -1.678 2.385
```


Entry 4:
Material: Cd6PPd12
Method: DFT, PBE
State: optimized geometry Values from VASP.

Output
- Calculated density: 9.848 g cm⁻³
- E_tot: -77.6 eV/f.u.

Cell and atoms, written as Quantum ESPRESSO input:
```
&SYSTEM
  ibrav = 0, nat = 19, ntyp = 3
/
ATOMIC_SPECIES
Cd 112.41 Cd.upf
P 30.97 P.upf
Pd 106.42 Pd.upf
CELL_PARAMETERS angstrom
6.967 0.196 0.235
-0.863 6.916 0.235
-0.863 -1.005 6.847
ATOMIC_POSITIONS angstrom
Cd 3.702 5.891 2.206
Cd 4.698 2.279 1.126
Cd -0.020 4.750 2.444
Cd 1.540 0.216 5.110
Cd 0.544 3.828 6.190
Cd 5.262 1.357 4.873
P 0.000 0.000 0.000
Pd 4.566 3.620 3.546
Pd 2.117 4.944 4.196
Pd 2.886 2.584 5.614
Pd 0.676 2.487 3.770
Pd 3.125 1.163 3.121
Pd 2.356 3.523 1.702
Pd -0.233 0.404 2.302
Pd 4.807 3.813 7.071
Pd 3.040 6.005 6.507
Pd 5.475 5.703 5.015
Pd 0.435 2.295 0.245
Pd 2.202 0.102 0.809
```


Entry 5:
Material: CaRh2Br
Method: DFT, PBE
State: optimized geometry Values from VASP.

Output
- Calculated density: 6.520 g cm⁻³
- ΔE_f (raw): -37 meV/atom
- E_tot: -18.5 eV/f.u.
- ΔE to the lowest computed polymorph: 276 meV/atom

Cell and atoms, written as Quantum ESPRESSO input:
```
&SYSTEM
  ibrav = 0, nat = 4, ntyp = 3
/
ATOMIC_SPECIES
Ca 40.08 Ca.upf
Rh 102.91 Rh.upf
Br 79.90 Br.upf
CELL_PARAMETERS angstrom
-2.315 -0.887 4.890
2.536 -4.013 2.743
1.080 4.855 -2.308
ATOMIC_POSITIONS angstrom
Ca 1.865 -0.856 2.208
Rh 0.208 -4.600 7.167
Rh -0.562 0.763 3.194
Br 0.122 -2.701 4.208
```


Entry 6:
Material: K2DySO6
Method: DFT, PBE
State: optimized geometry Values from VASP.

Output
- Calculated density: 3.325 g cm⁻³
- ΔE_f (raw): -1627 meV/atom
- E_tot: -56.9 eV/f.u.

Cell and atoms, written as Quantum ESPRESSO input:
```
&SYSTEM
  ibrav = 0, nat = 10, ntyp = 4
/
ATOMIC_SPECIES
K 39.10 K.upf
Dy 162.50 Dy.upf
S 32.06 S.upf
O 16.00 O.upf
CELL_PARAMETERS angstrom
-2.408 1.841 -4.708
4.408 -2.737 -3.324
-5.144 -3.080 1.426
ATOMIC_POSITIONS angstrom
K -2.202 -2.780 -0.631
K -0.942 -1.195 -5.976
Dy -1.204 0.920 -2.354
S 0.000 0.000 0.000
O -2.739 0.368 -3.935
O -5.894 -1.520 -3.061
O -3.190 -3.199 -5.099
O 2.750 -2.455 -3.546
O 0.047 -0.777 -1.507
O -0.404 -4.344 -2.671
```


Entry 7:
Material: Ta4NbMo2
Method: DFT, PBE
State: optimized geometry Values from VASP.

Output
- Calculated density: 12.580 g cm⁻³
- E_tot: -76.2 eV/f.u.

Cell and atoms, written as Quantum ESPRESSO input:
```
&SYSTEM
  ibrav = 0, nat = 7, ntyp = 3
/
ATOMIC_SPECIES
Ta 180.95 Ta.upf
Nb 92.91 Nb.upf
Mo 95.94 Mo.upf
CELL_PARAMETERS angstrom
-3.267 -2.872 1.603
-0.857 -3.992 -2.196
3.508 -5.573 3.868
ATOMIC_POSITIONS angstrom
Ta 1.417 -7.379 3.074
Ta -0.110 -3.139 0.855
Ta -0.507 -9.298 2.419
Ta -2.034 -5.058 0.200
Nb 0.000 0.000 0.000
Mo 1.705 -4.361 2.367
Mo -2.322 -8.077 0.907
```


Entry 8:
Material: Rb2InAs
Method: DFT, PBE
State: optimized geometry Values from VASP.

Output
- Calculated density: 3.653 g cm⁻³
- E_tot: -10.6 eV/f.u.
- ΔE to the lowest computed polymorph: 0 meV/atom

Cell and atoms, written as Quantum ESPRESSO input:
```
&SYSTEM
  ibrav = 0, nat = 4, ntyp = 3
/
ATOMIC_SPECIES
Rb 85.47 Rb.upf
In 114.82 In.upf
As 74.92 As.upf
CELL_PARAMETERS angstrom
4.356 0.000 0.000
0.000 5.213 -1.976
0.000 -0.213 7.302
ATOMIC_POSITIONS angstrom
Rb 0.000 4.836 4.894
Rb 2.178 1.283 3.384
In 2.178 2.948 -0.088
As 0.000 3.536 1.465
```